# TeWIN2, optimized geometry, DFT GGA-PBE
# Magnetization = 3.7 Bohr magnetons per cell
# Energy above the lowest structure with this stoichiometry = 1740 meV/atom
# Calculated volume = 24.398 A^3/atom
# Formation energy (no corrections) = 1157 kJ/mol of formula units
data_TeWIN2
_chemical_formula_sum 'Te1 W1 I1 N2'
_symmetry_space_group_name_H-M 'P 4/m m m'
_symmetry_Int_Tables_number 123
_symmetry_space_group_name_Hall '-P 4 2'
_cell_length_a 3.995
_cell_length_b 3.995
_cell_length_c 7.643
_cell_angle_alpha 90.00
_cell_angle_beta 90.00
_cell_angle_gamma 90.00
loop_
_atom_site_label
_atom_site_fract_x
_atom_site_fract_y
_atom_site_fract_z
Te1 0.000 0.000 0.000
W1 0.500 0.500 0.000
I1 0.000 0.000 0.500
N1 0.000 0.500 0.500


# TeWIN2, optimized geometry, DFT GGA-PBE
# Magnetization = 0.0 Bohr magnetons per cell
# Energy above the lowest structure with this stoichiometry = 246 meV/atom
# Calculated volume = 19.877 A^3/atom
# Formation energy (no corrections) = 436 kJ/mol of formula units
data_TeWIN2
_chemical_formula_sum 'Te1 W1 I1 N2'
_symmetry_space_group_name_H-M 'P 4/m m m'
_symmetry_Int_Tables_number 123
_symmetry_space_group_name_Hall '-P 4 2'
_cell_length_a 4.068
_cell_length_b 4.068
_cell_length_c 6.004
_cell_angle_alpha 90.00
_cell_angle_beta 90.00
_cell_angle_gamma 90.00
loop_
_atom_site_label
_atom_site_fract_x
_atom_site_fract_y
_atom_site_fract_z
Te1 0.000 0.000 0.000
W1 0.500 0.500 0.500
I1 0.500 0.500 0.000
N1 0.000 0.500 0.500


# TeWIN2, optimized geometry, DFT GGA-PBE
# Magnetization = 4.5 Bohr magnetons per cell
# Energy above the lowest structure with this stoichiometry = 1576 meV/atom
# Calculated volume = 24.920 A^3/atom
# Formation energy (no corrections) = 1077 kJ/mol of formula units
data_TeWIN2
_chemical_formula_sum 'Te1 W1 I1 N2'
_symmetry_space_group_name_H-M 'P 4/m m m'
_symmetry_Int_Tables_number 123
_symmetry_space_group_name_Hall '-P 4 2'
_cell_length_a 4.055
_cell_length_b 4.055
_cell_length_c 7.576
_cell_angle_alpha 90.00
_cell_angle_beta 90.00
_cell_angle_gamma 90.00
loop_
_atom_site_label
_atom_site_fract_x
_atom_site_fract_y
_atom_site_fract_z
Te1 0.000 0.000 0.000
W1 0.500 0.500 0.500
I1 0.000 0.000 0.500
N1 0.000 0.500 0.000


Among the records above, which one has the lowest formation energy (no corrections)?
number 2


Copy entry 1 word for word.
# TeWIN2, optimized geometry, DFT GGA-PBE
# Magnetization = 3.7 Bohr magnetons per cell
# Energy above the lowest structure with this stoichiometry = 1740 meV/atom
# Calculated volume = 24.398 A^3/atom
# Formation energy (no corrections) = 1157 kJ/mol of formula units
data_TeWIN2
_chemical_formula_sum 'Te1 W1 I1 N2'
_symmetry_space_group_name_H-M 'P 4/m m m'
_symmetry_Int_Tables_number 123
_symmetry_space_group_name_Hall '-P 4 2'
_cell_length_a 3.995
_cell_length_b 3.995
_cell_length_c 7.643
_cell_angle_alpha 90.00
_cell_angle_beta 90.00
_cell_angle_gamma 90.00
loop_
_atom_site_label
_atom_site_fract_x
_atom_site_fract_y
_atom_site_fract_z
Te1 0.000 0.000 0.000
W1 0.500 0.500 0.000
I1 0.000 0.000 0.500
N1 0.000 0.500 0.500


Among the records above, which one has the lowest formation energy (no corrections)?
number 2